No. 1
# MgTe2Se GGA-PBE relaxed
# DOS(E_F) = 11.752 states/eV per cell
# Total DFT energy (no corrections) = -2.800 eV/atom
# Raw formation energy = 0.04 eV/atom
data_MgTe2Se
_cell_length_a 7.363
_cell_length_b 7.363
_cell_length_c 7.363
_cell_angle_alpha 90.00
_cell_angle_beta 90.00
_cell_angle_gamma 90.00
_symmetry_space_group_name_H-M 'F -4 3 m'
_symmetry_Int_Tables_number 216
_symmetry_space_group_name_Hall 'F -4 2 3'
loop_
_atom_site_label
_atom_site_type_symbol
_atom_site_fract_x
_atom_site_fract_y
_atom_site_fract_z
Mg1 Mg 0.000 0.000 0.000
Te1 Te 0.000 0.000 0.500
Te2 Te 0.250 0.250 0.750
Se1 Se 0.250 0.250 0.250

No. 2
# Mg2TeSe GGA-PBE relaxed
# DOS(E_F) = 0.964 states/eV per cell
# Total DFT energy (no corrections) = -3.146 eV/atom
# Relative energy among the computed polymorphs = 0.365 eV/atom
# Raw formation energy = -0.69 eV/atom
data_Mg2TeSe
_cell_length_a 3.700
_cell_length_b 4.045
_cell_length_c 6.967
_cell_angle_alpha 90.00
_cell_angle_beta 90.00
_cell_angle_gamma 90.00
_symmetry_space_group_name_H-M 'P m m m'
_symmetry_Int_Tables_number 47
loop_
_symmetry_equiv_pos_as_xyz
'x,y,z'
'-x,-y,-z'
'-x,-y,z'
'x,y,-z'
'x,-y,-z'
'-x,y,z'
'-x,y,-z'
'x,-y,z'
loop_
_atom_site_label
_atom_site_type_symbol
_atom_site_fract_x
_atom_site_fract_y
_atom_site_fract_z
Mg1 Mg 0.000 0.000 0.240
Te1 Te 0.500 0.500 0.000
Se1 Se 0.500 0.000 0.500

No. 3
# Mg3TeSe GGA-PBE relaxed
# DOS(E_F) = 3.995 states/eV per cell
# Total DFT energy (no corrections) = -2.536 eV/atom
# Relative energy among the computed polymorphs = 0.000 eV/atom
# Raw formation energy = -0.25 eV/atom
data_Mg3TeSe
_cell_length_a 5.196
_cell_length_b 5.196
_cell_length_c 5.196
_cell_angle_alpha 90.00
_cell_angle_beta 90.00
_cell_angle_gamma 90.00
_symmetry_space_group_name_H-M 'P m -3 m'
_symmetry_Int_Tables_number 221
_symmetry_space_group_name_Hall '-P 4 2 3'
loop_
_atom_site_label
_atom_site_type_symbol
_atom_site_fract_x
_atom_site_fract_y
_atom_site_fract_z
Mg1 Mg 0.000 0.000 0.500
Te1 Te 0.500 0.500 0.500
Se1 Se 0.000 0.000 0.000

No. 4
# MgTe2Se GGA-PBE relaxed
# DOS(E_F) = 3.145 states/eV per cell
# Total DFT energy (no corrections) = -2.843 eV/atom
# Raw formation energy = 0.00 eV/atom
data_MgTe2Se
_cell_length_a 3.874
_cell_length_b 3.874
_cell_length_c 6.710
_cell_angle_alpha 90.00
_cell_angle_beta 90.00
_cell_angle_gamma 90.00
_symmetry_space_group_name_H-M 'P 4/m m m'
_symmetry_Int_Tables_number 123
_symmetry_space_group_name_Hall '-P 4 2'
loop_
_atom_site_label
_atom_site_type_symbol
_atom_site_fract_x
_atom_site_fract_y
_atom_site_fract_z
Mg1 Mg 0.000 0.000 0.000
Te1 Te 0.500 0.500 0.223
Se1 Se 0.000 0.000 0.500

No. 5
# MgTe2Se GGA-PBE relaxed
# DOS(E_F) = 0.896 states/eV per cell
# Total DFT energy (no corrections) = -3.049 eV/atom
# Raw formation energy = -0.21 eV/atom
data_MgTe2Se
_cell_length_a 3.511
_cell_length_b 3.594
_cell_length_c 8.338
_cell_angle_alpha 90.00
_cell_angle_beta 90.00
_cell_angle_gamma 90.00
_symmetry_space_group_name_H-M 'P m m 2'
_symmetry_Int_Tables_number 25
loop_
_symmetry_equiv_pos_as_xyz
'x,y,z'
'-x,-y,z'
'-x,y,z'
'x,-y,z'
loop_
_atom_site_label
_atom_site_type_symbol
_atom_site_fract_x
_atom_site_fract_y
_atom_site_fract_z
Mg1 Mg 0.000 0.000 0.000
Te1 Te 0.000 0.000 0.448
Te2 Te 0.500 0.500 0.745
Se1 Se 0.500 0.500 0.096

No. 6
# MgTe2Se GGA-PBE relaxed
# DOS(E_F) = 21.516 states/eV per cell
# Total DFT energy (no corrections) = -2.714 eV/atom
# Raw formation energy = 0.13 eV/atom
data_MgTe2Se
_cell_length_a 7.379
_cell_length_b 7.379
_cell_length_c 7.379
_cell_angle_alpha 90.00
_cell_angle_beta 90.00
_cell_angle_gamma 90.00
_symmetry_space_group_name_H-M 'F m -3 m'
_symmetry_Int_Tables_number 225
_symmetry_space_group_name_Hall '-F 4 2 3'
loop_
_atom_site_label
_atom_site_type_symbol
_atom_site_fract_x
_atom_site_fract_y
_atom_site_fract_z
Mg1 Mg 0.000 0.000 0.000
Te1 Te 0.250 0.250 0.250
Se1 Se 0.000 0.000 0.500

No. 7
# MgTe2Se GGA-PBE relaxed
# DOS(E_F) = 1.208 states/eV per cell
# Total DFT energy (no corrections) = -2.932 eV/atom
# Raw formation energy = -0.09 eV/atom
data_MgTe2Se
_cell_length_a 5.968
_cell_length_b 5.968
_cell_length_c 15.776
_cell_angle_alpha 90.00
_cell_angle_beta 90.00
_cell_angle_gamma 90.00
_symmetry_space_group_name_H-M 'I -4 2 d'
_symmetry_Int_Tables_number 122
_symmetry_space_group_name_Hall 'I -4 2bw'
loop_
_atom_site_label
_atom_site_type_symbol
_atom_site_fract_x
_atom_site_fract_y
_atom_site_fract_z
Mg1 Mg 0.000 0.000 0.000
Te1 Te 0.238 0.250 0.625
Se1 Se 0.000 0.000 0.500

No. 8
# Mg2TeSe GGA-PBE relaxed
# Total DFT energy (no corrections) = -3.431 eV/atom
# Relative energy among the computed polymorphs = 0.081 eV/atom
# Raw formation energy = -0.98 eV/atom
data_Mg2TeSe
_cell_length_a 5.750
_cell_length_b 5.770
_cell_length_c 5.772
_cell_angle_alpha 90.00
_cell_angle_beta 90.00
_cell_angle_gamma 90.00
_symmetry_space_group_name_H-M 'A m m 2'
_symmetry_Int_Tables_number 38
loop_
_symmetry_equiv_pos_as_xyz
'x,y,z'
'-x,-y,z'
'-x,y,z'
'x,-y,z'
'x,y+1/2,z+1/2'
'-x,-y+1/2,z+1/2'
'-x,y+1/2,z+1/2'
'x,-y+1/2,z+1/2'
loop_
_atom_site_label
_atom_site_type_symbol
_atom_site_fract_x
_atom_site_fract_y
_atom_site_fract_z
Mg1 Mg 0.000 0.000 0.000
Mg2 Mg 0.500 0.000 0.499
Te1 Te 0.500 0.000 0.999
Se1 Se 0.000 0.000 0.499

No. 9
# Mg2TeSe GGA-PBE relaxed
# DOS(E_F) = 0.000 states/eV per cell
# Total DFT energy (no corrections) = -3.501 eV/atom
# Relative energy among the computed polymorphs = 0.011 eV/atom
# Raw formation energy = -1.05 eV/atom
data_Mg2TeSe
_cell_length_a 4.4316
_cell_length_b 4.4316
_cell_length_c 7.1885
_cell_angle_alpha 90.00
_cell_angle_beta 90.00
_cell_angle_gamma 120.00
_symmetry_space_group_name_H-M 'P 3 m 1'
_symmetry_Int_Tables_number 156
loop_
_symmetry_equiv_pos_as_xyz
'x,y,z'
'-y,x-y,z'
'-x+y,-x,z'
'-y,-x,z'
'-x+y,y,z'
'x,x-y,z'
loop_
_atom_site_label
_atom_site_type_symbol
_atom_site_fract_x
_atom_site_fract_y
_atom_site_fract_z
Mg1 Mg 0.0000 0.0000 0.0000
Mg2 Mg 0.3333 0.6667 0.4601
Te1 Te 0.0000 0.0000 0.6066
Se1 Se 0.3333 0.6667 0.0988

No. 10
# Mg2TeSe GGA-PBE relaxed
# Total DFT energy (no corrections) = -3.366 eV/atom
# Relative energy among the computed polymorphs = 0.145 eV/atom
# Raw formation energy = -0.91 eV/atom
data_Mg2TeSe
_cell_length_a 3.941
_cell_length_b 3.936
_cell_length_c 15.675
_cell_angle_alpha 90.00
_cell_angle_beta 90.00
_cell_angle_gamma 90.00
_symmetry_space_group_name_H-M 'A m m 2'
_symmetry_Int_Tables_number 38
loop_
_symmetry_equiv_pos_as_xyz
'x,y,z'
'-x,-y,z'
'-x,y,z'
'x,-y,z'
'x,y+1/2,z+1/2'
'-x,-y+1/2,z+1/2'
'-x,y+1/2,z+1/2'
'x,-y+1/2,z+1/2'
loop_
_atom_site_label
_atom_site_type_symbol
_atom_site_fract_x
_atom_site_fract_y
_atom_site_fract_z
Mg1 Mg 0.000 0.000 0.000
Mg2 Mg 0.500 0.000 0.360
Te1 Te 0.500 0.000 0.546
Se1 Se 0.000 0.000 0.832

No. 11
# MgTe2Se GGA-PBE relaxed
# DOS(E_F) = 5.171 states/eV per cell
# Total DFT energy (no corrections) = -2.996 eV/atom
# Raw formation energy = -0.16 eV/atom
data_MgTe2Se
_cell_length_a 4.013
_cell_length_b 4.013
_cell_length_c 18.204
_cell_angle_alpha 90.00
_cell_angle_beta 90.00
_cell_angle_gamma 90.00
_symmetry_space_group_name_H-M 'I -4 m 2'
_symmetry_Int_Tables_number 119
_symmetry_space_group_name_Hall 'I -4 -2'
loop_
_atom_site_label
_atom_site_type_symbol
_atom_site_fract_x
_atom_site_fract_y
_atom_site_fract_z
Mg1 Mg 0.000 0.000 0.000
Te1 Te 0.000 0.000 0.500
Te2 Te 0.000 0.500 0.250
Se1 Se 0.000 0.500 0.750

No. 12
# MgTe3Se GGA-PBE relaxed
# DOS(E_F) = 2.875 states/eV per cell
# Total DFT energy (no corrections) = -2.583 eV/atom
# Relative energy among the computed polymorphs = 0.000 eV/atom
# Raw formation energy = 0.32 eV/atom
data_MgTe3Se
_cell_length_a 5.462
_cell_length_b 5.462
_cell_length_c 5.462
_cell_angle_alpha 90.00
_cell_angle_beta 90.00
_cell_angle_gamma 90.00
_symmetry_space_group_name_H-M 'P m -3 m'
_symmetry_Int_Tables_number 221
_symmetry_space_group_name_Hall '-P 4 2 3'
loop_
_atom_site_label
_atom_site_type_symbol
_atom_site_fract_x
_atom_site_fract_y
_atom_site_fract_z
Mg1 Mg 0.000 0.000 0.000
Te1 Te 0.000 0.500 0.500
Se1 Se 0.500 0.500 0.500

Number 1: mass density 5.964 g/cm³. Number 2: mass density 4.064 g/cm³. Number 3: mass density 3.308 g/cm³. Number 4: mass density 5.911 g/cm³. Number 5: mass density 5.659 g/cm³. Number 6: mass density 5.925 g/cm³. Number 7: mass density 4.237 g/cm³. Number 8: mass density 4.425 g/cm³. Number 9: mass density 3.466 g/cm³. Number 10: mass density 3.485 g/cm³. Number 11: mass density 4.062 g/cm³. Number 12: mass density 4.953 g/cm³.